[1]
Compound: CaTe2Cl
Source: the Alexandria database
Functional: GGA-PBE
Structure: optimized geometry

Summary:
* distance to the lowest polymorph of the same formula: 0.0101 eV per atom
* final energy: -0.13246 hartree per atom
* energy relative to the elements, uncorrected: -103.4 kJ per mole of atoms

abc: 4.3247 4.3247 12.1108
angles: 90.00 90.00 90.00
Closest atoms and distances in Å follow each position.
Space group I4/mmm (No. 139)
Unique sites:
1 Ca 0.0000 0.0000 0.0000 [2 per cell]  4 Cl 3.06
2 Te 0.0000 0.5000 0.2500 [4 per cell]  4 Te 3.06
3 Cl 0.0000 0.0000 0.5000 [2 per cell]  4 Ca 3.06


[2]
Compound: ScInP2
Source: the Alexandria database
Functional: GGA-PBE
Structure: optimized geometry

Summary:
* final energy: -0.20305 hartree per atom
* ΔH_f (0 K): -0.553 eV/atom

abc: 4.2080 4.2080 5.9554
angles: 90.00 90.00 90.00
Closest atoms and distances in Å follow each position.
Space group P-4m2 (No. 115)
Unique sites:
1 Sc 0.0000 0.0000 0.0000 [1 per cell]  4 P 2.57
2 In 0.5000 0.5000 0.5000 [1 per cell]  4 P 2.59
3 P 0.0000 0.5000 0.2467 [2 per cell]  2 Sc 2.57, 2 In 2.59


[3]
Compound: CaAsS3
Source: the Alexandria database
Functional: GGA-PBE
Structure: optimized geometry

Summary:
* final energy: -0.15845 hartree per atom
* energy relative to the elements, uncorrected: -48.7 kJ per mole of atoms

abc: 4.7904 4.7904 4.7904
angles: 90.00 90.00 90.00
Closest atoms and distances in Å follow each position.
Space group Pm-3m (No. 221)
Unique sites:
1 Ca 0.0000 0.0000 0.0000 [1 per cell]  12 S 3.39
2 As 0.5000 0.5000 0.5000 [1 per cell]  6 S 2.40
3 S 0.0000 0.5000 0.5000 [3 per cell]  2 As 2.40


[4]
Compound: YHo4In
Source: the Alexandria database
Functional: GGA-PBE
Structure: optimized geometry

Summary:
* distance to the lowest polymorph of the same formula: 0.0306 eV per atom
* final energy: -0.17286 hartree per atom
* ΔH_f (0 K): -0.118 eV/atom

abc: 10.4508 6.0277 11.7443
angles: 90.00 107.60 90.00
Closest atoms and distances in Å follow each position.
Space group C2/c (No. 15)
Unique sites:
1 Y 0.2500 0.2500 0.0000 [4 per cell]  2 In 3.43, 10 Ho 3.44-3.55
2 Ho 0.0796 0.2402 0.4996 [8 per cell]  7 Ho 3.34-3.56, 2 In 3.42, 3 Y 3.45-3.55
3 Ho 0.1665 0.4169 0.2500 [8 per cell]  7 Ho 3.43-3.49, 2 Y 3.44-3.46, 3 In 3.46-3.50
4 In 0.0000 0.0865 0.7500 [4 per cell]  10 Ho 3.42-3.50, 2 Y 3.43


[5]
Compound: PmDyYAg
Source: the Alexandria database
Functional: GGA-PBE
Structure: optimized geometry

Summary:
* distance to the lowest polymorph of the same formula: 0.0000 eV per atom
* final energy: -0.17644 hartree per atom
* ΔH_f (0 K): -0.134 eV/atom

abc: 3.6325 3.6325 8.7186
angles: 90.00 90.00 90.00
Closest atoms and distances in Å follow each position.
Space group P4mm (No. 99)
Unique sites:
1 Pm 0.0000 0.0000 0.0000 [1 per cell]  4 Dy 3.60, 4 Y 3.62, 4 Pm 3.63
2 Dy 0.5000 0.5000 0.7109 [1 per cell]  4 Ag 3.14
3 Y 0.5000 0.5000 0.2931 [1 per cell]  4 Ag 3.16
4 Ag 0.0000 0.0000 0.5043 [1 per cell]  4 Dy 3.14, 4 Y 3.16


[6]
Compound: Dy3Si4Au2
Source: the Alexandria database
Functional: GGA-PBE
Structure: optimized geometry

Summary:
* final energy: -0.20067 hartree per atom
* energy relative to the elements, uncorrected: -76.0 kJ per mole of atoms

abc: 10.7443 4.2315 8.1939
angles: 90.00 102.74 90.00
Closest atoms and distances in Å follow each position.
Space group C2/m (No. 12)
Unique sites:
1 Dy 0.0000 0.0000 0.0000 [2 per cell]  8 Si 3.08-3.17, 4 Au 3.17
2 Dy 0.1626 0.5000 0.6731 [4 per cell]  8 Si 3.03-3.19, 4 Au 3.08-3.16
3 Si 0.0550 0.0000 0.3919 [4 per cell]  1 Si 2.34, 2 Au 2.44
4 Si 0.2246 0.5000 0.0518 [4 per cell]  2 Si 2.39, 1 Au 2.43
5 Au 0.1145 0.5000 0.2811 [4 per cell]  3 Si 2.43-2.44


[7]
Compound: Pr3AlRu3
Source: the Alexandria database
Functional: GGA-PBE
Structure: optimized geometry

Summary:
* final energy: -0.25175 hartree per atom
* ΔH_f (0 K): -0.292 eV/atom

abc: 4.2214 10.9576 13.7021
angles: 90.00 90.00 90.00
Closest atoms and distances in Å follow each position.
Space group Cmcm (No. 63)
Unique sites:
1 Pr 0.0000 0.0050 0.2500 [4 per cell]  7 Ru 3.08-3.24, 2 Al 3.43
2 Pr 0.0000 0.2927 0.1058 [8 per cell]  6 Ru 3.03-3.15
3 Al 0.0000 0.0000 0.0000 [4 per cell]  4 Ru 2.62
4 Ru 0.0000 0.2904 0.7500 [4 per cell]  2 Ru 2.58
5 Ru 0.0000 0.4205 0.5930 [8 per cell]  1 Ru 2.58, 2 Al 2.62


[8]
Compound: Pr3Nd4Se8
Source: the Alexandria database
Functional: GGA-PBE
Structure: optimized geometry

Summary:
* final energy: -0.21904 hartree per atom
* energy relative to the elements, uncorrected: -180.9 kJ per mole of atoms

abc: 11.9751 11.9767 8.4637
angles: 90.00 134.96 90.00
Closest atoms and distances in Å follow each position.
Space group C2/m (No. 12)
Unique sites:
1 Pr 0.0000 0.0000 0.0000 [2 per cell]  6 Se 3.01
2 Pr 0.2500 0.2500 0.0000 [4 per cell]  6 Se 2.99
3 Nd 0.0000 0.5000 0.0000 [2 per cell]  6 Se 2.98
4 Nd 0.0000 0.5000 0.5000 [2 per cell]  6 Se 3.02
5 Nd 0.2500 0.2500 0.5000 [4 per cell]  6 Se 2.99
6 Se 0.0000 0.2480 0.5000 [4 per cell]  3 Nd 2.99-3.02, 2 Pr 2.99
7 Se 0.0000 0.2509 0.0000 [4 per cell]  3 Nd 2.98-2.99, 3 Pr 2.99-3.01
8 Se 0.2489 0.0000 0.5019 [4 per cell]  4 Nd 2.98-3.02, 1 Pr 3.01
9 Se 0.2490 0.0000 0.9962 [4 per cell]  2 Nd 2.98-3.02, 3 Pr 2.99-3.01


[9]
Compound: PrGe2PdPt2
Source: the Alexandria database
Functional: GGA-PBE
Structure: optimized geometry

Summary:
* final energy: -0.21077 hartree per atom
* ΔH_f (0 K): -0.521 eV/atom

abc: 4.1184 4.1184 15.4374
angles: 90.00 90.00 90.00
Closest atoms and distances in Å follow each position.
Space group I4/mmm (No. 139)
Unique sites:
1 Pr 0.0000 0.0000 0.0000 [2 per cell]  4 Pd 2.91
2 Ge 0.0000 0.0000 0.3442 [4 per cell]  1 Pd 2.40, 4 Pt 2.52
3 Pd 0.0000 0.0000 0.5000 [2 per cell]  2 Ge 2.40
4 Pt 0.0000 0.5000 0.2500 [4 per cell]  4 Ge 2.52


[10]
Compound: CrRe2Se
Source: the Alexandria database
Functional: GGA-PBE
Structure: optimized geometry

Summary:
* distance to the lowest polymorph of the same formula: 0.4788 eV per atom
* final energy: -0.32387 hartree per atom
* energy relative to the elements, uncorrected: 66.4 kJ per mole of atoms

abc: 3.8058 3.8058 8.0917
angles: 90.00 90.00 90.00
Closest atoms and distances in Å follow each position.
Space group I-4m2 (No. 119)
Unique sites:
1 Cr 0.0000 0.0000 0.0000 [2 per cell]  8 Re 2.69-2.78, 4 Se 2.78
2 Re 0.0000 0.0000 0.5000 [2 per cell]  4 Cr 2.69, 4 Se 2.78, 4 Re 2.78
3 Re 0.0000 0.5000 0.7500 [2 per cell]  4 Se 2.69, 4 Cr 2.78, 4 Re 2.78
4 Se 0.0000 0.5000 0.2500 [2 per cell]  8 Re 2.69-2.78, 4 Cr 2.78


[11]
Compound: ZrZn2Ir
Source: the Alexandria database
Functional: GGA-PBE
Structure: optimized geometry

Summary:
* final energy: -0.19437 hartree per atom
* ΔH_f (0 K): -0.300 eV/atom

abc: 3.0305 4.6192 4.8859
angles: 90.00 95.76 90.00
Closest atoms and distances in Å follow each position.
Space group P2/m (No. 10)
Unique sites:
1 Zr 0.0000 0.0000 0.0000 [1 per cell]  4 Ir 2.74-3.00, 4 Zn 2.96, 2 Zr 3.03
2 Zn 0.4091 0.5000 0.7419 [2 per cell]  2 Zn 2.48-2.53, 2 Ir 2.62
3 Ir 0.5000 0.0000 0.5000 [1 per cell]  4 Zn 2.62, 2 Zr 2.74


[12]
Compound: Tb7Hg3N2
Source: the Alexandria database
Functional: GGA-PBE
Structure: optimized geometry

Summary:
* final energy: -0.18300 hartree per atom
* energy relative to the elements, uncorrected: -78.7 kJ per mole of atoms

abc: 4.8542 23.5120 4.8215
angles: 90.00 90.00 90.00
Closest atoms and distances in Å follow each position.
Space group Cmmm (No. 65)
Unique sites:
1 Tb 0.0000 0.0000 0.0000 [2 per cell]  2 N 2.43
2 Tb 0.0000 0.1008 0.5000 [4 per cell]  2 N 2.41
3 Tb 0.0000 0.2027 0.0000 [4 per cell]  1 N 2.33
4 Tb 0.0000 0.3998 0.0000 [4 per cell]  2 N 2.43
5 Hg 0.0000 0.3007 0.5000 [4 per cell]  10 Tb 3.33-3.42, 2 Hg 3.40
6 Hg 0.0000 0.5000 0.5000 [2 per cell]  12 Tb 3.37-3.42
7 N 0.0000 0.1035 0.0000 [4 per cell]  6 Tb 2.33-2.43


[13]
Compound: Na2AgSn4
Source: the Alexandria database
Functional: GGA-PBE
Structure: optimized geometry

Summary:
* distance to the lowest polymorph of the same formula: 0.0000 eV per atom
* final energy: -0.11105 hartree per atom
* ΔH_f (0 K): 0.050 eV/atom

abc: 6.0746 13.5653 5.4519
angles: 90.00 90.00 90.00
Closest atoms and distances in Å follow each position.
Space group Cmmm (No. 65)
Unique sites:
1 Na 0.0000 0.1442 0.0000 [4 per cell]  5 Sn 3.08-3.39
2 Ag 0.0000 0.5000 0.5000 [2 per cell]  6 Sn 2.87-3.08
3 Sn 0.0000 0.2887 0.5000 [4 per cell]  1 Ag 2.87, 2 Sn 3.08
4 Sn 0.0000 0.3940 0.0000 [4 per cell]  3 Sn 2.88-3.08, 2 Na 3.08, 2 Ag 3.08


[14]
Compound: Sm5Dy3Sc2
Source: the Alexandria database
Functional: GGA-PBE
Structure: optimized geometry

Summary:
* final energy: -0.18256 hartree per atom
* ΔH_f (0 K): 0.039 eV/atom

abc: 9.3238 9.3253 9.3360
angles: 106.58 106.78 115.13
Closest atoms and distances in Å follow each position.
Space group P-1 (No. 2)
Unique sites:
1 Sm 0.0221 0.0748 0.3460 [2 per cell]  5 Dy 3.50-3.56, 2 Sc 3.52, 5 Sm 3.55-3.59
2 Sm 0.1291 0.3792 0.7508 [2 per cell]  5 Sm 3.48-3.57, 3 Dy 3.48-3.55, 4 Sc 3.49-3.51
3 Sm 0.2282 0.6767 0.1539 [2 per cell]  5 Sm 3.51-3.58, 5 Dy 3.51-3.55, 2 Sc 3.52-3.53
4 Sm 0.3782 0.1273 0.2490 [2 per cell]  6 Dy 3.48-3.59, 4 Sm 3.49-3.57, 2 Sc 3.52-3.54
5 Sm 0.4740 0.4278 0.6523 [2 per cell]  6 Sm 3.48-3.57, 4 Sc 3.50-3.60, 2 Dy 3.50-3.57
6 Dy 0.0773 0.2283 0.0527 [2 per cell]  8 Sm 3.50-3.57, 2 Sc 3.52-3.54, 2 Dy 3.55-3.57
7 Dy 0.2759 0.8222 0.8484 [2 per cell]  5 Sm 3.48-3.55, 4 Sc 3.49-3.57, 3 Dy 3.49-3.55
8 Dy 0.3233 0.9733 0.5528 [2 per cell]  2 Dy 3.49-3.58, 8 Sm 3.50-3.59, 2 Sc 3.51-3.52
9 Sc 0.1696 0.5234 0.4504 [2 per cell]  1 Sc 3.44, 7 Sm 3.49-3.60, 4 Dy 3.49-3.52
10 Sc 0.4259 0.2765 0.9494 [2 per cell]  7 Sm 3.49-3.52, 4 Dy 3.50-3.57, 1 Sc 3.51


[15]
Compound: MgZnOs2Pb
Source: the Alexandria database
Functional: GGA-PBE
Structure: optimized geometry

Summary:
* final energy: -0.14075 hartree per atom
* ΔH_f (0 K): 1.977 eV/atom

abc: 4.6684 4.6684 5.0607
angles: 90.00 90.00 90.00
Closest atoms and distances in Å follow each position.
Space group P4/mmm (No. 123)
Unique sites:
1 Mg 0.0000 0.0000 0.0000 [1 per cell]  4 Os 2.33, 2 Pb 2.53
2 Zn 0.5000 0.5000 0.5000 [1 per cell]  4 Pb 3.30, 8 Os 3.44
3 Os 0.0000 0.5000 0.0000 [2 per cell]  2 Mg 2.33
4 Pb 0.0000 0.0000 0.5000 [1 per cell]  2 Mg 2.53


[16]
Compound: PaTePdO6
Source: the Alexandria database
Functional: GGA-PBE
Structure: optimized geometry

Summary:
* final energy: -0.25221 hartree per atom
* energy relative to the elements, uncorrected: -152.1 kJ per mole of atoms

abc: 5.6460 5.6460 9.3913
angles: 90.00 90.00 120.00
Closest atoms and distances in Å follow each position.
Space group P-31c (No. 163)
Unique sites:
1 Pa 0.3333 0.6667 0.2500 [2 per cell]  6 O 2.22
2 Te 0.3333 0.6667 0.7500 [2 per cell]  6 O 2.00
3 Pd 0.0000 0.0000 0.0000 [2 per cell]  6 O 2.39
4 O 0.0290 0.3726 0.6355 [12 per cell]  1 Te 2.00, 1 Pa 2.22


[17]
Compound: Te2AuCI
Source: the Alexandria database
Functional: GGA-PBE
Structure: optimized geometry

Summary:
* distance to the lowest polymorph of the same formula: 0.0000 eV per atom
* final energy: -0.10466 hartree per atom
* energy relative to the elements, uncorrected: 117.6 kJ per mole of atoms

abc: 4.8109 4.8109 5.0133
angles: 90.00 90.00 90.00
Closest atoms and distances in Å follow each position.
Space group P4/mmm (No. 123)
Unique sites:
1 Te 0.0000 0.5000 0.0000 [2 per cell]  2 C 2.41
2 Au 0.0000 0.0000 0.5000 [1 per cell]  4 I 3.40, 8 Te 3.47
3 C 0.5000 0.5000 0.0000 [1 per cell]  4 Te 2.41, 2 I 2.51
4 I 0.5000 0.5000 0.5000 [1 per cell]  2 C 2.51


[18]
Compound: ZrCo2Au
Source: the Alexandria database
Functional: GGA-PBE
Structure: optimized geometry

Summary:
* distance to the lowest polymorph of the same formula: 0.1269 eV per atom
* final energy: -0.24307 hartree per atom
* ΔH_f (0 K): -0.105 eV/atom

abc: 3.0105 3.5119 5.8694
angles: 90.00 90.00 90.00
Closest atoms and distances in Å follow each position.
Space group Pmm2 (No. 25)
Unique sites:
1 Zr 0.0000 0.0000 0.0000 [1 per cell]  5 Co 2.51-2.76
2 Co 0.0000 0.0000 0.5717 [1 per cell]  1 Zr 2.51, 4 Co 2.52, 4 Au 2.79
3 Co 0.5000 0.5000 0.7431 [1 per cell]  4 Co 2.52, 1 Au 2.57, 4 Zr 2.76
4 Au 0.5000 0.5000 0.3046 [1 per cell]  5 Co 2.57-2.79


[19]
Compound: Np2USiN5
Source: the Alexandria database
Functional: GGA-PBE
Structure: optimized geometry

Summary:
* final energy: -0.37574 hartree per atom
* energy relative to the elements, uncorrected: -83.6 kJ per mole of atoms

abc: 6.3917 6.3917 5.4599
angles: 90.00 90.00 90.00
Closest atoms and distances in Å follow each position.
Space group P4/mbm (No. 127)
Unique sites:
1 Np 0.1730 0.3270 0.0000 [4 per cell]  4 N 2.21-2.36
2 U 0.0000 0.0000 0.5000 [2 per cell]  10 N 2.73-2.75
3 Si 0.0000 0.5000 0.5000 [2 per cell]  4 N 1.81
4 N 0.0000 0.0000 0.0000 [2 per cell]  4 Np 2.36
5 N 0.1448 0.6448 0.2702 [8 per cell]  1 Si 1.81


[20]
Compound: TbDy6Er12
Source: the Alexandria database
Functional: GGA-PBE
Structure: optimized geometry

Summary:
* distance to the lowest polymorph of the same formula: 0.2950 eV per atom
* final energy: -0.15151 hartree per atom
* ΔH_f (0 K): 0.456 eV/atom

abc: 14.7760 14.7760 10.2135
angles: 90.00 90.00 120.00
Closest atoms and distances in Å follow each position.
Space group R-3m (No. 166, hexagonal axes)
Unique sites:
1 Tb 0.0000 0.0000 0.0000 [3 per cell]  6 Er 3.31
2 Dy 0.0687 0.5344 0.2192 [18 per cell]  8 Er 3.31-3.52, 2 Dy 3.55
3 Er 0.0000 0.3879 0.5000 [18 per cell]  5 Er 3.31-3.68, 4 Dy 3.31-3.43
4 Er 0.0773 0.1547 0.2596 [18 per cell]  4 Dy 3.31-3.52, 1 Tb 3.31, 4 Er 3.41-3.43


[21]
Compound: La2YTc
Source: the Alexandria database
Functional: GGA-PBE
Structure: optimized geometry

Summary:
* distance to the lowest polymorph of the same formula: 0.1126 eV per atom
* final energy: -0.24247 hartree per atom
* ΔH_f (0 K): 0.073 eV/atom

abc: 12.0105 3.8020 5.6619
angles: 90.00 118.03 90.00
Closest atoms and distances in Å follow each position.
Space group C2/m (No. 12)
Unique sites:
1 La 0.1927 0.0000 0.1926 [4 per cell]  2 Tc 2.79
2 Y 0.0000 0.0000 0.5000 [2 per cell]  4 Tc 3.41, 8 La 3.49-3.77, 2 Y 3.80
3 Tc 0.0000 0.5000 0.0000 [2 per cell]  4 La 2.79


[22]
Compound: La4TbS5
Source: the Alexandria database
Functional: GGA-PBE
Structure: optimized geometry

Summary:
* final energy: -0.24351 hartree per atom
* energy relative to the elements, uncorrected: -205.4 kJ per mole of atoms

abc: 9.1869 9.1869 5.8257
angles: 90.00 90.00 90.00
Closest atoms and distances in Å follow each position.
Space group I4/m (No. 87)
Unique sites:
1 La 0.0976 0.3014 0.0000 [8 per cell]  6 S 2.91-2.97
2 Tb 0.0000 0.0000 0.5000 [2 per cell]  6 S 2.81-2.91
3 S 0.0000 0.0000 0.0000 [2 per cell]  4 La 2.91, 2 Tb 2.91
4 S 0.0983 0.2901 0.5000 [8 per cell]  1 Tb 2.81, 5 La 2.91-2.97


[23]
Compound: La2FeGePb
Source: the Alexandria database
Functional: GGA-PBE
Structure: optimized geometry

Summary:
* final energy: -0.21057 hartree per atom
* ΔH_f (0 K): -0.401 eV/atom

abc: 5.2984 5.2984 4.6231
angles: 90.00 90.00 90.00
Closest atoms and distances in Å follow each position.
Space group P4/mmm (No. 123)
Unique sites:
1 La 0.0000 0.5000 0.0000 [2 per cell]  2 Fe 2.65
2 Fe 0.0000 0.0000 0.0000 [1 per cell]  2 Ge 2.31
3 Ge 0.0000 0.0000 0.5000 [1 per cell]  2 Fe 2.31
4 Pb 0.5000 0.5000 0.5000 [1 per cell]  8 La 3.52, 4 Ge 3.75